Material: La2TbTmSe4
Method: DFT, GGA-PBE
State: relaxed

Values from the calculation:
- calculated volume (Å³/cell) = 207.2
- raw formation energy (meV/atom) = -1866

Cell lengths 7.166, 4.109, 7.421 Å; angles 90.00, 108.57, 90.00 degrees
Space group P2/m (No. 10)
Symmetry-distinct sites (fractional):
La (0.000, 0.000, 0.000) x1
La (0.500, 0.500, 0.000) x1
Tb (0.000, 0.500, 0.500) x1
Tm (0.500, 0.000, 0.500) x1
Se (0.247, 0.000, 0.730) x2
Se (0.261, 0.500, 0.273) x2